No. 1
Density functional theory data (PBE) for a relaxed CsPuCl14 crystal.

a = 9.9242 Å, b = 9.9242 Å, c = 8.0266 Å
α = 95.73°, β = 95.73°, γ = 124.65°
Positions (direct):
Cs  0.0000  0.0000  0.0000
Pu  0.2814  0.7186  0.0000
Cl  0.1915  0.4265  0.0073
Cl  0.2156  0.6521  0.6842
Cl  0.2660  0.2304  0.4718
Cl  0.3479  0.7844  0.3158
Cl  0.3659  0.0111  0.9910
Cl  0.4936  0.5064  0.5000
Cl  0.5735  0.8085  0.9927
Cl  0.5780  0.0842  0.6010
Cl  0.7079  0.2647  0.2221
Cl  0.7353  0.2921  0.7779
Cl  0.7696  0.7340  0.5282
Cl  0.9158  0.4220  0.3990
Cl  0.9889  0.6341  0.0090
Cl  0.9949  0.0051  0.5000

Values from the calculation:
- total magnetization (μB/f.u.) = 2.61
- formation energy (no corrections) (eV per atom) = -0.755

---

No. 2
Density functional theory data (PBE) for a relaxed SrMg2Co crystal.

a = 4.5921 Å, b = 4.5921 Å, c = 16.8118 Å
α = 90.00°, β = 90.00°, γ = 120.00°
Positions (direct):
Sr  0.0000  0.0000  0.0000
Sr  0.3333  0.6667  0.6667
Sr  0.6667  0.3333  0.3333
Mg  0.0000  0.0000  0.1980
Mg  0.0000  0.0000  0.4730
Mg  0.3333  0.6667  0.1396
Mg  0.3333  0.6667  0.8647
Mg  0.6667  0.3333  0.5313
Mg  0.6667  0.3333  0.8063
Co  0.0000  0.0000  0.8120
Co  0.3333  0.6667  0.4787
Co  0.6667  0.3333  0.1454

Values from the calculation:
- total magnetization (μB/f.u.) = 0.00
- calculated formation energy (kJ/mol of formula units) = 79

---

No. 3
Density functional theory data (PBE) for a relaxed InNiMo2 crystal.

a = 3.3368 Å, b = 4.5627 Å, c = 8.3943 Å
α = 90.00°, β = 90.00°, γ = 90.00°
Positions (direct):
In  0.0000  0.0000  0.0000
In  0.5000  0.5000  0.5000
Ni  0.0000  0.5000  0.2555
Ni  0.5000  0.0000  0.7555
Mo  0.0000  0.0000  0.5112
Mo  0.0000  0.5000  0.7794
Mo  0.5000  0.0000  0.2794
Mo  0.5000  0.5000  0.0112

Values from the calculation:
- total magnetization (μB/f.u.) = 0.00
- calculated formation energy (kJ/mol of formula units) = 88

---

No. 4
Density functional theory data (PBE) for a relaxed Ti4BiSb crystal.

a = 5.0454 Å, b = 8.9603 Å, c = 5.0320 Å
α = 90.00°, β = 90.00°, γ = 90.00°
Positions (direct):
Ti  0.0000  0.1670  0.0000
Ti  0.0000  0.3290  0.5000
Ti  0.0000  0.6710  0.5000
Ti  0.0000  0.8330  0.0000
Ti  0.5000  0.1710  0.5000
Ti  0.5000  0.3330  0.0000
Ti  0.5000  0.6670  0.0000
Ti  0.5000  0.8290  0.5000
Bi  0.0000  0.5000  0.0000
Bi  0.5000  0.0000  0.0000
Sb  0.0000  0.0000  0.5000
Sb  0.5000  0.5000  0.5000

Values from the calculation:
- total magnetization (μB/f.u.) = 0.78
- relative energy among the computed polymorphs (kJ per mole of atoms) = 0.0
- formation energy (no corrections) (eV per atom) = -0.276

---

No. 5
Density functional theory data (PBE) for a relaxed LaAl4Zn2 crystal.

a = 4.2744 Å, b = 14.7190 Å, c = 4.2522 Å
α = 90.00°, β = 90.00°, γ = 90.00°
Positions (direct):
La  0.0000  0.0000  0.0000
La  0.5000  0.5000  0.0000
Al  0.0000  0.1848  0.5000
Al  0.0000  0.3127  0.0000
Al  0.0000  0.6873  0.0000
Al  0.0000  0.8152  0.5000
Al  0.5000  0.1873  0.0000
Al  0.5000  0.3152  0.5000
Al  0.5000  0.6848  0.5000
Al  0.5000  0.8127  0.0000
Zn  0.0000  0.4154  0.5000
Zn  0.0000  0.5846  0.5000
Zn  0.5000  0.0846  0.5000
Zn  0.5000  0.9154  0.5000

Values from the calculation:
- total magnetization (μB/f.u.) = 0.00
- calculated formation energy (kJ/mol of formula units) = -185

---

No. 6
Density functional theory data (PBE) for a relaxed PBr crystal.

a = 14.2119 Å, b = 3.1417 Å, c = 8.6742 Å
α = 90.00°, β = 110.12°, γ = 90.00°
Positions (direct):
P  0.0000  0.0000  0.0000
P  0.0330  0.0000  0.2668
P  0.1290  0.5000  0.2063
P  0.5000  0.5000  0.0000
P  0.5330  0.5000  0.2668
P  0.6290  0.0000  0.2063
Br  0.1047  0.5000  0.6749
Br  0.2970  0.0000  0.3790
Br  0.3560  0.0000  0.8995
Br  0.6047  0.0000  0.6749
Br  0.7970  0.5000  0.3790
Br  0.8560  0.5000  0.8995

Values from the calculation:
- total magnetization (μB/f.u.) = 0.07
- relative energy among the computed polymorphs (kJ per mole of atoms) = 29.5
- formation energy (no corrections) (eV per atom) = 0.176